# 1
Compound: RbHgAs5
Source: Alexandria via LeMat-Bulk
Functional: PBE
Structure: relaxed

Cell lengths 4.579, 14.825, 12.068 Å; angles 90.00, 90.57, 90.00 degrees
Space group C2/c (No. 15)
One atom of each set of equivalent atoms:
Rb 0.000 0.012 0.250
Hg 0.000 0.500 0.000
As 0.000 0.304 0.750
As 0.083 0.193 0.043
As 0.237 0.306 0.364

Output
- total energy (eV for the cell shown) = -101.0
- ΔE_f (kJ per mole of atoms) = -10.1
- total magnetic moment (μB/f.u.) = 0.000

# 2
Compound: BaNa2HPt
Source: Alexandria via LeMat-Bulk
Functional: PBE
Structure: relaxed

Cell lengths 4.533, 4.533, 5.537 Å; angles 90.00, 90.00, 90.00 degrees
Space group P4/mmm (No. 123)
One atom of each set of equivalent atoms:
Ba 0.000 0.000 0.000
Na 0.000 0.500 0.500
H 0.000 0.000 0.500
Pt 0.500 0.500 0.000

Output
- total energy (eV for the cell shown) = -15.4
- total magnetic moment (μB/f.u.) = 0.000

# 3
Compound: La2ErMnS5
Source: Alexandria via LeMat-Bulk
Functional: PBE
Structure: relaxed

Cell lengths 3.976, 16.649, 12.105 Å; angles 90.00, 90.00, 90.00 degrees
Space group Cmc2_1 (No. 36)
One atom of each set of equivalent atoms:
La 0.000 0.118 0.000
La 0.000 0.124 0.645
Er 0.000 0.188 0.331
Mn 0.000 0.448 0.740
S 0.000 0.025 0.336
S 0.000 0.300 0.985
S 0.000 0.311 0.673
S 0.000 0.349 0.323
S 0.000 0.494 0.068

Output
- total energy (eV for the cell shown) = -242.3
- raw formation energy (meV per atom) = -1817
- total magnetic moment (μB/f.u.) = 4.374

# 4
Compound: Ag5Pd2Br12
Source: Alexandria via LeMat-Bulk
Functional: PBE
Structure: relaxed

Cell lengths 14.742, 7.799, 9.672 Å; angles 90.00, 102.76, 90.00 degrees
Space group C2/m (No. 12)
One atom of each set of equivalent atoms:
Ag 0.000 0.000 0.000
Ag 0.234 0.500 0.463
Ag 0.241 0.500 0.984
Pd 0.000 0.249 0.500
Br 0.039 0.000 0.338
Br 0.039 0.500 0.337
Br 0.136 0.244 0.056
Br 0.165 0.251 0.638

Output
- total energy (eV for the cell shown) = -98.8
- raw formation energy (meV per atom) = -247
- total magnetic moment (μB/f.u.) = 1.780

# 5
Compound: CaRu2Pb
Source: Alexandria via LeMat-Bulk
Functional: PBE
Structure: relaxed

Cell lengths 7.620, 7.620, 5.965 Å; angles 90.00, 90.00, 90.00 degrees
Space group I-42d (No. 122)
One atom of each set of equivalent atoms:
Ca 0.000 0.000 0.000
Ru 0.222 0.250 0.625
Pb 0.000 0.000 0.500

Output
- total energy (eV for the cell shown) = -84.1
- ΔE_f (kJ per mole of atoms) = 77.8
- total magnetic moment (μB/f.u.) = 1.491

# 6
Compound: PrPbO4
Source: Alexandria via LeMat-Bulk
Functional: PBE
Structure: relaxed

Cell lengths 5.748, 5.748, 10.435 Å; angles 90.00, 90.00, 90.00 degrees
Space group I4_1/amd (No. 141, origin choice 2)
One atom of each set of equivalent atoms:
Pr 0.000 0.250 0.375
Pb 0.000 0.250 0.875
O 0.233 0.000 0.000

Output
- total energy (eV for the cell shown) = -152.0
- raw formation energy (meV per atom) = -1615
- total magnetic moment (μB/f.u.) = 1.034

# 7
Compound: Ag2Pt
Source: Alexandria via LeMat-Bulk
Functional: PBE
Structure: relaxed

Cell lengths 7.9967, 7.9967, 2.8035 Å; angles 90.00, 90.00, 120.00 degrees
Space group P-62m (No. 189)
One atom of each set of equivalent atoms:
Ag 0.0000 0.3048 0.0000
Ag 0.0000 0.6363 0.5000
Pt 0.0000 0.0000 0.5000
Pt 0.3333 0.6667 0.0000

Output
- energy above the most stable polymorph in this dataset (meV/atom) = 67
- total energy (eV for the cell shown) = -34.8
- ΔE_f (kJ per mole of atoms) = 5.1
- total magnetic moment (μB/f.u.) = 0.000

# 8
Compound: Te3As2
Source: Alexandria via LeMat-Bulk
Functional: PBE
Structure: relaxed

Cell lengths 7.3140, 7.3140, 19.9761 Å; angles 90.00, 90.00, 120.00 degrees
Space group R-3c (No. 167, hexagonal axes)
One atom of each set of equivalent atoms:
Te 0.0000 0.3054 0.2500
As 0.0000 0.0000 0.1588

Output
- energy above the most stable polymorph in this dataset (meV/atom) = 121
- total energy (eV for the cell shown) = -109.2
- raw formation energy (meV per atom) = 105
- total magnetic moment (μB/f.u.) = 0.000

# 9
Compound: Al2As2Os
Source: Alexandria via LeMat-Bulk
Functional: PBE
Structure: relaxed

Cell lengths 3.416, 3.416, 15.735 Å; angles 90.00, 90.00, 90.00 degrees
Space group I4/mmm (No. 139)
One atom of each set of equivalent atoms:
Al 0.000 0.500 0.250
As 0.000 0.000 0.087
Os 0.000 0.000 0.500

Output
- energy above the most stable polymorph in this dataset (meV/atom) = 304
- total energy (eV for the cell shown) = -49.5
- ΔE_f (kJ per mole of atoms) = 62.6
- total magnetic moment (μB/f.u.) = 0.766

# 10
Compound: KCa9MgP7O28
Source: Alexandria via LeMat-Bulk
Functional: PBE
Structure: relaxed

Cell lengths 10.5081, 10.5081, 37.2926 Å; angles 90.00, 90.00, 120.00 degrees
Space group R3c (No. 161, hexagonal axes)
One atom of each set of equivalent atoms:
K 0.0000 0.0000 0.0000
Ca 0.0548 0.5087 0.2846
Ca 0.1884 0.4034 0.0250
Ca 0.1913 0.3941 0.9180
Mg 0.0000 0.0000 0.1835
P 0.0000 0.0000 0.4162
P 0.0098 0.4815 0.4858
P 0.1536 0.3487 0.7149
O 0.0000 0.0000 0.3746
O 0.0020 0.2798 0.0711
O 0.0364 0.2484 0.2989
O 0.0449 0.5122 0.5262
O 0.0655 0.3764 0.4735
O 0.0862 0.1780 0.7196
O 0.1118 0.4271 0.2278
O 0.1406 0.3890 0.6757
O 0.1444 0.0080 0.9297
O 0.1738 0.0722 0.1457

Output
- total energy (eV for the cell shown) = -1972.4
- raw formation energy (meV per atom) = -2855
- total magnetic moment (μB/f.u.) = 0.000

# 11
Compound: K3UTe8
Source: Alexandria via LeMat-Bulk
Functional: PBE
Structure: relaxed

Cell lengths 9.374, 9.374, 11.164 Å; angles 90.00, 90.00, 90.00 degrees
Space group I-42m (No. 121)
One atom of each set of equivalent atoms:
K 0.000 0.000 0.000
K 0.000 0.500 0.250
U 0.000 0.000 0.500
Te 0.147 0.147 0.287
Te 0.233 0.233 0.517

Output
- total energy (eV for the cell shown) = -93.4
- raw formation energy (meV per atom) = -583
- total magnetic moment (μB/f.u.) = 0.973

# 12
Compound: PaTlAg
Source: Alexandria via LeMat-Bulk
Functional: PBE
Structure: relaxed

Cell lengths 3.1881, 3.1881, 8.0738 Å; angles 90.00, 90.00, 120.00 degrees
Space group P3m1 (No. 156)
One atom of each set of equivalent atoms:
Pa 0.0000 0.0000 0.0000
Tl 0.6667 0.3333 0.3580
Ag 0.3333 0.6667 0.6726

Output
- energy above the most stable polymorph in this dataset (meV/atom) = 0
- total energy (eV for the cell shown) = -14.2
- ΔE_f (kJ per mole of atoms) = 16.3
- total magnetic moment (μB/f.u.) = 0.000

# 13
Compound: Sr2MnMo
Source: Alexandria via LeMat-Bulk
Functional: PBE
Structure: relaxed

Cell lengths 7.060, 4.075, 9.168 Å; angles 90.00, 104.68, 90.00 degrees
Space group Cm (No. 8)
One atom of each set of equivalent atoms:
Sr 0.000 0.000 0.000
Sr 0.179 0.000 0.544
Mn 0.423 0.000 0.272
Mo 0.257 0.500 0.272

Output
- energy above the most stable polymorph in this dataset (meV/atom) = 0
- total energy (eV for the cell shown) = -43.0
- ΔE_f (kJ per mole of atoms) = 45.1
- total magnetic moment (μB/f.u.) = 1.345

# 14
Compound: SmTm4Th
Source: Alexandria via LeMat-Bulk
Functional: PBE
Structure: relaxed

Cell lengths 5.007, 3.519, 10.555 Å; angles 90.00, 90.05, 90.00 degrees
Space group P2/m (No. 10)
One atom of each set of equivalent atoms:
Sm 0.000 0.000 0.000
Tm 0.001 0.000 0.335
Tm 0.500 0.500 0.169
Th 0.500 0.500 0.500

Output
- energy above the most stable polymorph in this dataset (meV/atom) = 0
- total energy (eV for the cell shown) = -29.9
- ΔE_f (kJ per mole of atoms) = 2.5
- total magnetic moment (μB/f.u.) = 0.000

# 15
Compound: Al3Pt
Source: Alexandria via LeMat-Bulk
Functional: PBE
Structure: relaxed

Cell lengths 2.897, 3.789, 5.570 Å; angles 90.00, 90.00, 90.00 degrees
Space group Pmmm (No. 47)
One atom of each set of equivalent atoms:
Al 0.000 0.000 0.000
Al 0.500 0.500 0.254
Pt 0.000 0.000 0.500

Output
- total energy (eV for the cell shown) = -19.2
- ΔE_f (kJ per mole of atoms) = -45.4
- total magnetic moment (μB/f.u.) = 0.000

# 16
Compound: NaLaSnSe3
Source: Alexandria via LeMat-Bulk
Functional: PBE
Structure: relaxed

Cell lengths 8.912, 4.163, 10.243 Å; angles 90.00, 96.76, 90.00 degrees
Space group P2_1/m (No. 11)
One atom of each set of equivalent atoms:
Na 0.148 0.250 0.091
La 0.153 0.250 0.697
Sn 0.346 0.750 0.362
Se 0.111 0.250 0.388
Se 0.184 0.750 0.905
Se 0.395 0.750 0.625

Output
- total energy (eV for the cell shown) = -56.0
- raw formation energy (meV per atom) = -1216
- total magnetic moment (μB/f.u.) = 0.000

# 17
Compound: KVGe2Br8
Source: Alexandria via LeMat-Bulk
Functional: PBE
Structure: relaxed

Cell lengths 6.752, 7.213, 9.000 Å; angles 84.75, 88.93, 68.79 degrees
Space group P-1 (No. 2)
One atom of each set of equivalent atoms:
K 0.000 0.000 0.000
V 0.000 0.000 0.500
Ge 0.323 0.319 0.665
Br 0.063 0.281 0.352
Br 0.250 0.751 0.325
Br 0.300 0.320 0.937
Br 0.318 0.950 0.676

Output
- total energy (eV for the cell shown) = -42.8
- raw formation energy (meV per atom) = -827
- total magnetic moment (μB/f.u.) = 2.000

# 18
Compound: PrDyTmAl
Source: Alexandria via LeMat-Bulk
Functional: PBE
Structure: relaxed

Cell lengths 3.533, 3.533, 9.085 Å; angles 90.00, 90.00, 90.00 degrees
Space group P4mm (No. 99)
One atom of each set of equivalent atoms:
Pr 0.000 0.000 0.000
Dy 0.500 0.500 0.703
Tm 0.500 0.500 0.289
Al 0.000 0.000 0.493

Output
- energy above the most stable polymorph in this dataset (meV/atom) = 0
- total energy (eV for the cell shown) = -18.4
- ΔE_f (kJ per mole of atoms) = -18.9
- total magnetic moment (μB/f.u.) = 0.000

# 19
Compound: CePr3Ge3
Source: Alexandria via LeMat-Bulk
Functional: PBE
Structure: relaxed

Cell lengths 8.354, 12.797, 7.832 Å; angles 90.00, 92.44, 90.00 degrees
Space group C2/m (No. 12)
One atom of each set of equivalent atoms:
Ce 0.250 0.000 0.086
Pr 0.000 0.167 0.500
Pr 0.000 0.226 0.000
Pr 0.127 0.500 0.366
Ge 0.056 0.000 0.776
Ge 0.175 0.329 0.700

Output
- total energy (eV for the cell shown) = -150.3
- ΔE_f (kJ per mole of atoms) = -47.4
- total magnetic moment (μB/f.u.) = 0.563